(1)
Material: La3Pr4HoSe8
Method: DFT, PBE-GGA
State: relaxed

The calculation puts the density of states at the Fermi level at 0.618 states/eV per atom. The energy relative to the elements, uncorrected comes out at -2909 kJ/mol of formula units.

a = 8.5276 Å, b = 8.5276 Å, c = 20.8410 Å
α = 90.00°, β = 90.00°, γ = 120.00°
Space group R-3m (No. 166, hexagonal axes)
Unique sites:
La 0.0000 0.5000 0.0000 (multiplicity 9)
Pr 0.0000 0.0000 0.5000 (multiplicity 3)
Pr 0.0000 0.5000 0.5000 (multiplicity 9)
Ho 0.0000 0.0000 0.0000 (multiplicity 3)
Se 0.0000 0.0000 0.2495 (multiplicity 6)
Se 0.0101 0.5051 0.7479 (multiplicity 18)

(2)
Material: MgFe4Si
Method: DFT, PBE-GGA
State: relaxed

The calculation puts the density of states at the Fermi level at 0.923 states/eV per atom. The energy relative to the elements, uncorrected comes out at 55 kJ/mol of formula units.

a = 6.733 Å, b = 6.733 Å, c = 6.733 Å
α = 90.00°, β = 90.00°, γ = 90.00°
Space group F-43m (No. 216)
Unique sites:
Mg 0.000 0.000 0.000 (multiplicity 4)
Fe 0.125 0.125 0.375 (multiplicity 16)
Si 0.250 0.250 0.750 (multiplicity 4)

(3)
Material: PrHo7Er3
Method: DFT, PBE-GGA
State: relaxed

For the formation energy, the calculation gives 0.200 eV/atom. The value obtained for the energy relative to the lowest polymorph listed for this composition is 52 meV/atom. The calculation puts the density of states at the Fermi level at 1.593 states/eV per atom.

a = 7.0250 Å, b = 7.0250 Å, c = 8.5579 Å
α = 90.00°, β = 90.00°, γ = 120.00°
Space group P3m1 (No. 156)
Unique sites:
Pr 0.0000 0.0000 0.0000 (multiplicity 1)
Ho 0.0027 0.5014 0.9969 (multiplicity 3)
Ho 0.3311 0.1656 0.3306 (multiplicity 3)
Ho 0.3333 0.6667 0.3272 (multiplicity 1)
Er 0.1674 0.3349 0.6611 (multiplicity 3)

(4)
Material: CaSmPb
Method: DFT, PBE-GGA
State: relaxed

For the formation energy, the calculation gives -0.269 eV/atom. The calculation puts the density of states at the Fermi level at 1.230 states/eV per atom.

a = 5.3686 Å, b = 5.3686 Å, c = 3.8433 Å
α = 90.00°, β = 90.00°, γ = 120.00°
Space group P3m1 (No. 156)
Unique sites:
Ca 0.0000 0.0000 0.0000 (multiplicity 1)
Sm 0.6667 0.3333 0.4537 (multiplicity 1)
Pb 0.3333 0.6667 0.7550 (multiplicity 1)

(5)
Material: TmCdPt
Method: DFT, PBE-GGA
State: relaxed

For the formation energy, the calculation gives -0.673 eV/atom. The calculation puts the density of states at the Fermi level at 0.751 states/eV per atom.

a = 4.6848 Å, b = 4.6848 Å, c = 3.3646 Å
α = 90.00°, β = 90.00°, γ = 120.00°
Space group P-6m2 (No. 187)
Unique sites:
Tm 0.0000 0.0000 0.0000 (multiplicity 1)
Cd 0.6667 0.3333 0.5000 (multiplicity 1)
Pt 0.3333 0.6667 0.5000 (multiplicity 1)

(6)
Material: K2CoAu
Method: DFT, PBE-GGA
State: relaxed

For the formation energy, the calculation gives 0.382 eV/atom. The value obtained for the energy relative to the lowest polymorph listed for this composition is 116 meV/atom. The calculation puts the density of states at the Fermi level at 0.849 states/eV per atom.

a = 4.610 Å, b = 5.771 Å, c = 9.443 Å
α = 90.00°, β = 90.00°, γ = 90.00°
Space group Imm2 (No. 44)
Unique sites:
K 0.000 0.000 0.000 (multiplicity 2)
K 0.000 0.500 0.190 (multiplicity 2)
Co 0.000 0.000 0.386 (multiplicity 2)
Au 0.000 0.500 0.801 (multiplicity 2)

(7)
Material: ReSnSb2
Method: DFT, PBE-GGA
State: relaxed

The calculation puts the density of states at the Fermi level at 1.121 states/eV per atom. The energy relative to the elements, uncorrected comes out at 316 kJ/mol of formula units.

a = 3.0535 Å, b = 3.0535 Å, c = 35.6633 Å
α = 90.00°, β = 90.00°, γ = 120.00°
Space group R-3m (No. 166, hexagonal axes)
Unique sites:
Re 0.0000 0.0000 0.0000 (multiplicity 3)
Sn 0.0000 0.0000 0.5000 (multiplicity 3)
Sb 0.0000 0.0000 0.0769 (multiplicity 6)

(8)
Material: Pm5Te4C
Method: DFT, PBE-GGA
State: relaxed

The calculation puts the density of states at the Fermi level at 0.631 states/eV per atom. The energy relative to the elements, uncorrected comes out at -1119 kJ/mol of formula units.

a = 9.717 Å, b = 9.717 Å, c = 6.187 Å
α = 90.00°, β = 90.00°, γ = 90.00°
Space group I4 (No. 79)
Unique sites:
Pm 0.000 0.000 0.000 (multiplicity 2)
Pm 0.091 0.752 0.546 (multiplicity 8)
Te 0.086 0.690 0.044 (multiplicity 8)
C 0.000 0.000 0.577 (multiplicity 2)

(9)
Material: Pu2CdTe
Method: DFT, PBE-GGA
State: relaxed

The value obtained for the energy relative to the lowest polymorph listed for this composition is 65 meV/atom. The calculation puts the density of states at the Fermi level at 3.683 states/eV per atom. The energy relative to the elements, uncorrected comes out at -137 kJ/mol of formula units.

a = 7.574 Å, b = 7.574 Å, c = 7.574 Å
α = 90.00°, β = 90.00°, γ = 90.00°
Space group Fm-3m (No. 225)
Unique sites:
Pu 0.250 0.250 0.250 (multiplicity 8)
Cd 0.000 0.000 0.000 (multiplicity 4)
Te 0.000 0.000 0.500 (multiplicity 4)

(10)
Material: PuTlAu
Method: DFT, PBE-GGA
State: relaxed

For the formation energy, the calculation gives -0.244 eV/atom. The value obtained for the energy relative to the lowest polymorph listed for this composition is 0 meV/atom. The calculation puts the density of states at the Fermi level at 4.772 states/eV per atom.

a = 5.264 Å, b = 9.092 Å, c = 6.376 Å
α = 90.00°, β = 90.00°, γ = 90.00°
Space group Cmcm (No. 63)
Unique sites:
Pu 0.000 0.166 0.250 (multiplicity 4)
Tl 0.000 0.500 0.000 (multiplicity 4)
Au 0.000 0.168 0.750 (multiplicity 4)

(11)
Material: K2CdSiNi
Method: DFT, PBE-GGA
State: relaxed

The calculation puts the density of states at the Fermi level at 1.587 states/eV per atom. The energy relative to the elements, uncorrected comes out at 413 kJ/mol of formula units.

a = 6.647 Å, b = 6.647 Å, c = 4.697 Å
α = 90.00°, β = 90.00°, γ = 90.00°
Space group P4/mmm (No. 123)
Unique sites:
K 0.000 0.500 0.000 (multiplicity 2)
Cd 0.000 0.000 0.000 (multiplicity 1)
Si 0.000 0.000 0.500 (multiplicity 1)
Ni 0.500 0.500 0.500 (multiplicity 1)

(12)
Material: Pm4Sm3Tl2
Method: DFT, PBE-GGA
State: relaxed

For the formation energy, the calculation gives -0.090 eV/atom. The calculation puts the density of states at the Fermi level at 1.349 states/eV per atom.

a = 13.121 Å, b = 13.788 Å, c = 6.586 Å
α = 90.00°, β = 95.54°, γ = 90.00°
Space group C2/c (No. 15)
Unique sites:
Pm 0.105 0.212 0.083 (multiplicity 8)
Pm 0.150 0.326 0.587 (multiplicity 8)
Sm 0.000 0.469 0.250 (multiplicity 4)
Sm 0.113 0.064 0.600 (multiplicity 8)
Tl 0.204 0.428 0.043 (multiplicity 8)